Entry 1:
Density functional theory data (PBE) for InGe2Au7 after structural relaxation.

The calculation puts the density at 13.775 Mg/m³. Its calculated formation energy is -0.003 eV per atom. The final energy is -69.9 eV/cell.

It has space group I4/mmm (No. 139), with a = 4.504 Å, b = 4.504 Å, c = 19.477 Å, α = 90.00°, β = 90.00° and γ = 90.00°. Symmetry generates all atoms from In at (0.000, 0.000, 0.000), Ge at (0.000, 0.000, 0.326), Au at (0.000, 0.000, 0.500), Au at (0.000, 0.500, 0.098) and Au at (0.000, 0.500, 0.250).

***

Entry 2:
Density functional theory data (PBE) for CePuSiNi after structural relaxation.

The calculation puts the uncorrected formation energy at -1.11 eV per formula unit. The calculation puts the density at 8.869 Mg/m³. The final energy is -32.6 eV/cell.

It has space group P-6m2 (No. 187), with a = 4.8576 Å, b = 4.8576 Å, c = 4.3147 Å, α = 90.00°, β = 90.00° and γ = 120.00°. Symmetry generates all atoms from Ce at (0.0000, 0.0000, 0.0000), Pu at (0.3333, 0.6667, 0.5000), Si at (0.6667, 0.3333, 0.5000) and Ni at (0.6667, 0.3333, 0.0000).

***

Entry 3:
Density functional theory data (PBE) for TmAl6Au3 after structural relaxation.

The calculation puts the density at 8.180 Mg/m³. Its calculated formation energy is -0.391 eV per atom. The final energy is -81.3 eV/cell.

It has space group P2_1/m (No. 11), with a = 8.482 Å, b = 4.260 Å, c = 10.428 Å, α = 90.00°, β = 96.74° and γ = 90.00°. Symmetry generates all atoms from Tm at (0.008, 0.250, 0.235), Al at (0.082, 0.750, 0.458), Al at (0.153, 0.250, 0.947), Al at (0.220, 0.250, 0.687), Al at (0.348, 0.250, 0.211), Al at (0.407, 0.750, 0.578), Al at (0.485, 0.750, 0.088), Au at (0.181, 0.750, 0.095), Au at (0.291, 0.250, 0.450) and Au at (0.347, 0.750, 0.833).

***

Entry 4:
Density functional theory data (PBE) for Sr2LiAc after structural relaxation.

The calculation puts the density at 3.951 Mg/m³. Its calculated formation energy is 0.073 eV per atom. The final energy is -9.1 eV/cell. The value obtained for the energy above the most stable polymorph in this dataset is 0.0000 eV/atom.

It has space group P4/mmm (No. 123), with a = 4.160 Å, b = 4.160 Å, c = 9.937 Å, α = 90.00°, β = 90.00° and γ = 90.00°. Symmetry generates all atoms from Sr at (0.000, 0.000, 0.212), Li at (0.500, 0.500, 0.000) and Ac at (0.500, 0.500, 0.500).